NaSnPbBr5 | PBE | optimized geometry

Structure (POSCAR):
```
NaSnPbBr5
1.0
8.147 -0.071 -0.203
-2.446 7.772 -0.203
-2.606 -3.520 9.731
Na Sn Pb Br
2 2 2 10
Direct
0.677 0.323 0.250
0.323 0.677 0.750
0.000 0.000 0.500
0.000 0.000 0.000
0.361 0.639 0.250
0.639 0.361 0.750
0.115 0.885 0.250
0.885 0.115 0.750
0.971 0.344 0.161
0.029 0.656 0.839
0.656 0.029 0.339
0.344 0.971 0.661
0.693 0.634 0.453
0.307 0.366 0.547
0.366 0.307 0.047
0.634 0.693 0.953
```

Results
Uncorrected formation energy   -932 meV per atom
M_tot   0.00 μB per formula unit